This record from Alexandria via LeMat-Bulk describes crystalline Tb4PmTh4 at its relaxed geometry. The functional is GGA-PBE. Values from VASP.

Fermi-level density of states: 1.494 states/eV per atom
calculated total energy: -5.84 eV per atom
space-group type: I4/mmm, No. 139

Cell and atoms, written as Quantum ESPRESSO input:
```
&SYSTEM
  ibrav = 0, nat = 9, ntyp = 3
/
ATOMIC_SPECIES
Tb 158.93 Tb.upf
Pm 145.00 Pm.upf
Th 232.04 Th.upf
CELL_PARAMETERS angstrom
-1.974 -3.736 2.782
4.950 -1.498 6.102
-4.669 3.236 5.631
ATOMIC_POSITIONS crystal
Tb 0.330 0.340 0.000
Tb 0.670 0.660 0.000
Tb 0.670 0.000 0.660
Tb 0.330 0.000 0.340
Pm 0.000 0.000 0.000
Th 0.000 0.664 0.336
Th 0.000 0.336 0.664
Th 0.664 0.336 0.336
Th 0.336 0.664 0.664
```

=====

This record from Alexandria via LeMat-Bulk describes crystalline PuNp3Se4 at its relaxed geometry. The functional is GGA-PBE. Values from VASP.

Fermi-level density of states: 4.076 states/eV per atom
calculated total energy: -9.56 eV per atom
formation energy (no corrections): -1173 meV/atom
space-group type: Pm-3m, No. 221

Cell and atoms, written as Quantum ESPRESSO input:
```
&SYSTEM
  ibrav = 0, nat = 8, ntyp = 3
/
ATOMIC_SPECIES
Pu 244.00 Pu.upf
Np 237.00 Np.upf
Se 78.96 Se.upf
CELL_PARAMETERS angstrom
5.814 0.000 0.000
0.000 5.814 0.000
0.000 0.000 5.814
ATOMIC_POSITIONS crystal
Pu 0.000 0.000 0.000
Np 0.000 0.500 0.500
Np 0.500 0.000 0.500
Np 0.500 0.500 0.000
Se 0.500 0.000 0.000
Se 0.000 0.500 0.000
Se 0.000 0.000 0.500
Se 0.500 0.500 0.500
```

=====

This record from Alexandria via LeMat-Bulk describes crystalline PrHoSi4 at its relaxed geometry. The functional is GGA-PBE. Values from VASP.

Fermi-level density of states: 0.337 states/eV per atom
calculated total energy: -5.63 eV per atom
formation energy (no corrections): -459 meV/atom
space-group type: Pbam, No. 55

Cell and atoms, written as Quantum ESPRESSO input:
```
&SYSTEM
  ibrav = 0, nat = 24, ntyp = 3
/
ATOMIC_SPECIES
Pr 140.91 Pr.upf
Ho 164.93 Ho.upf
Si 28.09 Si.upf
CELL_PARAMETERS angstrom
4.128 0.000 0.000
0.000 8.237 0.000
0.000 0.000 14.754
ATOMIC_POSITIONS crystal
Pr 0.000 0.619 0.360
Pr 0.000 0.381 0.640
Pr 0.000 0.119 0.140
Pr 0.000 0.881 0.860
Ho 0.000 0.640 0.088
Ho 0.000 0.360 0.912
Ho 0.000 0.140 0.412
Ho 0.000 0.860 0.588
Si 0.500 0.805 0.196
Si 0.500 0.195 0.804
Si 0.500 0.305 0.304
Si 0.500 0.695 0.696
Si 0.500 0.875 0.038
Si 0.500 0.125 0.962
Si 0.500 0.375 0.462
Si 0.500 0.625 0.538
Si 0.500 0.878 0.444
Si 0.500 0.122 0.556
Si 0.500 0.378 0.056
Si 0.500 0.622 0.944
Si 0.500 0.018 0.296
Si 0.500 0.982 0.704
Si 0.500 0.518 0.204
Si 0.500 0.482 0.796
```

=====

This record from Alexandria via LeMat-Bulk describes crystalline MgNi3H at its relaxed geometry. The functional is GGA-PBE. Values from VASP.

Fermi-level density of states: 0.857 states/eV per atom
calculated total energy: -4.37 eV per atom
distance to the lowest polymorph of the same formula: 240 meV/atom
space-group type: R-3, No. 148

Cell and atoms, written as Quantum ESPRESSO input:
```
&SYSTEM
  ibrav = 0, nat = 10, ntyp = 3
/
ATOMIC_SPECIES
Ni 58.69 Ni.upf
Mg 24.30 Mg.upf
H 1.01 H.upf
CELL_PARAMETERS angstrom
5.727 3.424 1.803
6.624 -0.925 1.744
6.456 1.360 -2.061
ATOMIC_POSITIONS crystal
Ni 0.444 0.116 0.775
Ni 0.116 0.775 0.444
Ni 0.225 0.556 0.884
Ni 0.884 0.225 0.556
Ni 0.556 0.884 0.225
Ni 0.775 0.444 0.116
Mg 0.333 0.333 0.333
Mg 0.667 0.667 0.667
H 0.165 0.165 0.165
H 0.835 0.835 0.835
```